The following is a GGA-PBE calculation of a geometry-optimized AlCdFe structure, from Alexandria.

The structure in CIF format:
```
data_AlCdFe
_chemical_formula_sum 'Al4 Cd4 Fe4'
_cell_length_a 6.0722
_cell_length_b 6.0722
_cell_length_c 6.0722
_cell_angle_alpha 90.00
_cell_angle_beta 90.00
_cell_angle_gamma 90.00
_space_group_name_H-M_alt 'F -4 3 m'
_space_group_IT_number 216
_space_group_name_Hall 'F -4 2 3'
loop_
_atom_site_label
_atom_site_fract_x
_atom_site_fract_y
_atom_site_fract_z
Al1 0.0000 0.0000 0.0000
Cd1 0.0000 0.0000 0.5000
Fe1 0.2500 0.2500 0.7500
```

Total magnetic moment: 0.736 μB per atom
Offset from the most stable computed form: 257.9 meV/atom
Crystal system: cubic
Formation energy from the elements: 8.5 kcal/mol of atoms